# Li2CdRu | Alexandria via LeMat-Bulk | PBE-GGA | optimized geometry
# Size of the total moment in μB per formula unit: 0.50
# Formation energy in eV/f.u.: 0.7
# Mass density in Mg/m³: 5.725
# DOS(E_F) in states/eV per cell: 2.7
# Final energy in eV per atom: -3.34
data_Li2CdRu
_cell_length_a 9.741
_cell_length_b 9.741
_cell_length_c 9.741
_cell_angle_alpha 16.62
_cell_angle_beta 16.62
_cell_angle_gamma 16.62
_space_group_name_H-M_alt 'P 1'
_space_group_IT_number 1
loop_
_space_group_symop_operation_xyz
'x,y,z'
loop_
_atom_site_label
_atom_site_type_symbol
_atom_site_fract_x
_atom_site_fract_y
_atom_site_fract_z
_atom_site_occupancy
Li1 Li 0.000 0.000 0.000 1
Li2 Li 0.244 0.244 0.244 1
Cd1 Cd 0.752 0.752 0.752 1
Ru1 Ru 0.504 0.504 0.504 1

# Li2CdRu | Alexandria via LeMat-Bulk | PBE-GGA | optimized geometry
# Size of the total moment in μB per formula unit: 0.00
# Formation energy in eV/f.u.: 0.5
# Mass density in Mg/m³: 5.981
# DOS(E_F) in states/eV per cell: 2.7
# Final energy in eV per atom: -3.37
data_Li2CdRu
_cell_length_a 2.684
_cell_length_b 2.684
_cell_length_c 8.761
_cell_angle_alpha 90.00
_cell_angle_beta 90.00
_cell_angle_gamma 90.00
_space_group_name_H-M_alt 'P 1'
_space_group_IT_number 1
loop_
_space_group_symop_operation_xyz
'x,y,z'
loop_
_atom_site_label
_atom_site_type_symbol
_atom_site_fract_x
_atom_site_fract_y
_atom_site_fract_z
_atom_site_occupancy
Li1 Li 0.000 0.000 0.023 1
Li2 Li 0.000 0.000 0.477 1
Ru1 Ru 0.500 0.500 0.250 1
Cd1 Cd 0.500 0.500 0.750 1